Entry 1:
SrLi2In | PBEsol | optimized geometry

**DFT total energy**: -2.442 eV per atom
**Space-group type**: R-3m, No. 166
**Density of states at the Fermi level**: 1.095 states/eV/atom
**Total magnetic moment**: 0.00 μB per formula unit

Cell lengths 5.1343, 5.1343, 5.1343 Å; angles 59.90, 59.90, 59.90 degrees
Last column: nearest neighbours and their distance in Å.
Sites, in units of the cell vectors:
1 Sr 0.0000 0.0000 0.0000  8 Li 3.14
2 Li 0.2494 0.2494 0.2494  4 In 3.14-3.15, 4 Sr 3.14
3 Li 0.7506 0.7506 0.7506  4 In 3.14-3.15, 4 Sr 3.14
4 In 0.5000 0.5000 0.5000  8 Li 3.14-3.15

Entry 2:
SrLiIn | PBEsol | optimized geometry

**DFT total energy**: -2.535 eV per atom
**Space-group type**: I4mm, No. 107
**Density of states at the Fermi level**: 0.284 states/eV/atom
**Total magnetic moment**: 0.00 μB per formula unit

Cell lengths 6.2919, 6.2919, 6.2919 Å; angles 144.28, 144.28, 51.41 degrees
Last column: nearest neighbours and their distance in Å.
Sites, in units of the cell vectors:
1 Sr 0.0000 0.0000 0.0000  5 Li 3.34-3.59, 5 In 3.48-3.50
2 Li 0.2946 0.2946 0.0000  4 In 2.97
3 In 0.6910 0.6910 0.0000  4 Li 2.97